No. 1
Material: CdIn2
Method: DFT, PBEsol
State: relaxed

Computed properties:
Formation energy from the elements in eV per formula unit: 0.1
Crystal system: monoclinic
Magnetization in μB/atom: 0.000
Electronic total energy in eV per atom: -2.3494

abc: 3.3026 6.0544 7.9517
angles: 108.40 90.00 105.83
With the nearest neighbours (Å) after each atom.
Element x y z (fractional)
In: 0.6807 0.3615 0.1255  5 Cd 3.12-3.22, 7 In 3.27-3.42
In: 0.3193 0.6385 0.8745  5 Cd 3.12-3.22, 7 In 3.27-3.42
In: 0.3586 0.7171 0.4661  8 In 3.16-3.42, 4 Cd 3.18-3.24
In: 0.6414 0.2829 0.5339  8 In 3.16-3.42, 4 Cd 3.18-3.24
Cd: 0.0295 0.0590 0.7942  9 In 3.12-3.24, 2 Cd 3.30
Cd: 0.9705 0.9410 0.2058  9 In 3.12-3.24, 2 Cd 3.30


No. 2
Material: CdIn2
Method: DFT, PBEsol
State: relaxed

Computed properties:
Formation energy from the elements in eV per formula unit: 0.1
Crystal system: orthorhombic
Magnetization in μB/atom: 0.000
Electronic total energy in eV per atom: -2.3618

abc: 3.2329 4.5188 5.6261
angles: 113.68 106.70 90.00
With the nearest neighbours (Å) after each atom.
Element x y z (fractional)
Cd: 0.0000 0.0000 0.0000  10 In 3.20-3.30, 2 Cd 3.23
In: 0.3371 0.3371 0.6742  7 In 3.19-3.26, 5 Cd 3.20-3.30
In: 0.6629 0.6629 0.3258  7 In 3.19-3.26, 5 Cd 3.20-3.30


No. 3
Material: Cd2In3
Method: DFT, PBEsol
State: relaxed

Computed properties:
Formation energy from the elements in eV per formula unit: 0.2
Crystal system: trigonal
Relative energy among the computed polymorphs in eV per atom: 0.000
Magnetization in μB/atom: 0.000
Electronic total energy in eV per atom: -2.2324

abc: 3.5175 3.5175 11.3481
angles: 81.08 81.08 60.00
With the nearest neighbours (Å) after each atom.
Element x y z (fractional)
Cd: 0.3996 0.3996 0.8012  6 In 2.99-3.01
Cd: 0.6004 0.6004 0.1988  6 In 2.99-3.01
In: 0.7985 0.7985 0.6044  3 Cd 2.99, 3 In 3.09
In: 0.2015 0.2015 0.3956  3 Cd 2.99, 3 In 3.09
In: 0.0000 0.0000 0.0000  6 Cd 3.01


No. 4
Material: CdIn2
Method: DFT, PBEsol
State: relaxed

Computed properties:
Formation energy from the elements in eV per formula unit: 0.1
Crystal system: tetragonal
Magnetization in μB/atom: 0.000
Electronic total energy in eV per atom: -2.3569

abc: 5.7319 5.8050 5.8050
angles: 75.89 60.42 60.42
With the nearest neighbours (Å) after each atom.
Element x y z (fractional)
In: 0.8506 0.5000 0.7987  1 In 3.02, 4 Cd 3.08
In: 0.6494 0.2013 0.5000  1 In 3.02, 4 Cd 3.08
In: 0.1494 0.5000 0.2013  1 In 3.02, 4 Cd 3.08
In: 0.3506 0.7987 0.5000  1 In 3.02, 4 Cd 3.08
Cd: 0.7500 0.0000 0.0000  2 Cd 2.87, 8 In 3.08
Cd: 0.2500 0.0000 0.0000  2 Cd 2.87, 8 In 3.08


No. 5
Material: CdIn2
Method: DFT, PBEsol
State: relaxed

Computed properties:
Formation energy from the elements in eV per formula unit: 0.1
Crystal system: tetragonal
Magnetization in μB/atom: 0.000
Electronic total energy in eV per atom: -2.3668

abc: 3.2137 3.2137 7.2711
angles: 102.77 102.77 90.00
With the nearest neighbours (Å) after each atom.
Element x y z (fractional)
In: 0.8380 0.8380 0.6761  4 Cd 3.19, 8 In 3.21-3.33
In: 0.1620 0.1620 0.3239  4 Cd 3.19, 8 In 3.21-3.33
Cd: 0.5000 0.5000 0.0000  8 In 3.19, 4 Cd 3.21


No. 6
Material: Cd3In
Method: DFT, PBEsol
State: relaxed

Computed properties:
Formation energy from the elements in eV per formula unit: 0.3
Crystal system: cubic
Magnetization in μB/atom: 0.000
Electronic total energy in eV per atom: -1.5648

abc: 5.0421 5.0421 5.0421
angles: 60.00 60.00 60.00
With the nearest neighbours (Å) after each atom.
Element x y z (fractional)
Cd: 0.5000 0.5000 0.5000  8 Cd 3.09
Cd: 0.7500 0.7500 0.7500  4 Cd 3.09, 4 In 3.09
Cd: 0.2500 0.2500 0.2500  4 In 3.09, 4 Cd 3.09
In: 0.0000 0.0000 0.0000  8 Cd 3.09